## NdHoNi2P2 (GGA-PBE)

Data for a geometry-optimized NdHoNi2P2 structure.

Unit cell a=3.9186 b=3.9186 c=7.9218 alpha=90.00 beta=90.00 gamma=120.00
Space group P-3m1 (No. 164)
Inequivalent atoms, fractional coordinates:
Nd1 0.0000 0.0000 0.0000 x1
Ho1 0.0000 0.0000 0.5000 x1
Ni1 0.3333 0.6667 0.7416 x2
P1 0.3333 0.6667 0.2610 x2

Results
Total energy ... -6.4789 eV/atom
Formation energy from the elements ... -1191 meV/atom
N(E_F) ... 0.4579 states/eV per atom